Entry 1:
# VSn2Pd GGA-PBE optimized geometry
# formation energy = -104 meV per atom
# energy relative to the lowest polymorph listed for this composition = 0 meV/atom
# total magnetization = 1.5 μB/f.u.
# crystal system = tetragonal
# V = 74 Å³/f.u.
data_VSn2Pd
_chemical_formula_sum 'V1 Sn2 Pd1'
_cell_length_a 4.695
_cell_length_b 4.695
_cell_length_c 3.343
_cell_angle_alpha 90.00
_cell_angle_beta 90.00
_cell_angle_gamma 90.00
_space_group_name_H-M_alt 'P 1'
_space_group_IT_number 1
_space_group_name_Hall 'P 1'
loop_
_atom_site_label
_atom_site_fract_x
_atom_site_fract_y
_atom_site_fract_z
V1 0.000 0.000 0.000
Sn1 0.000 0.500 0.500
Sn2 0.500 0.000 0.500
Pd1 0.500 0.500 0.000

Entry 2:
# V2Sn2Pd GGA-PBE optimized geometry
# formation energy = 84 meV per atom
# energy relative to the lowest polymorph listed for this composition = 1 meV/atom
# total magnetization = 0.0 μB/f.u.
# crystal system = tetragonal
# V = 91 Å³/f.u.
data_V2Sn2Pd
_chemical_formula_sum 'V4 Sn4 Pd2'
_cell_length_a 7.612
_cell_length_b 7.612
_cell_length_c 3.156
_cell_angle_alpha 90.00
_cell_angle_beta 90.00
_cell_angle_gamma 90.00
_space_group_name_H-M_alt 'P 1'
_space_group_IT_number 1
_space_group_name_Hall 'P 1'
loop_
_atom_site_label
_atom_site_fract_x
_atom_site_fract_y
_atom_site_fract_z
V1 0.107 0.393 0.000
V2 0.393 0.893 0.000
V3 0.607 0.107 0.000
V4 0.893 0.607 0.000
Sn1 0.186 0.686 0.500
Sn2 0.314 0.186 0.500
Sn3 0.686 0.814 0.500
Sn4 0.814 0.314 0.500
Pd1 0.000 0.000 0.500
Pd2 0.500 0.500 0.500

Entry 3:
# VSn2Pd GGA-PBE optimized geometry
# formation energy = -17 meV per atom
# energy relative to the lowest polymorph listed for this composition = 87 meV/atom
# total magnetization = 2.8 μB/f.u.
# crystal system = cubic
# V = 77 Å³/f.u.
data_VSn2Pd
_chemical_formula_sum 'V4 Sn8 Pd4'
_cell_length_a 6.745
_cell_length_b 6.745
_cell_length_c 6.745
_cell_angle_alpha 90.00
_cell_angle_beta 90.00
_cell_angle_gamma 90.00
_space_group_name_H-M_alt 'P 1'
_space_group_IT_number 1
_space_group_name_Hall 'P 1'
loop_
_atom_site_label
_atom_site_fract_x
_atom_site_fract_y
_atom_site_fract_z
V1 0.000 0.000 0.000
V2 0.000 0.500 0.500
V3 0.500 0.000 0.500
V4 0.500 0.500 0.000
Sn1 0.250 0.250 0.250
Sn2 0.250 0.250 0.750
Sn3 0.250 0.750 0.250
Sn4 0.250 0.750 0.750
Sn5 0.750 0.250 0.250
Sn6 0.750 0.250 0.750
Sn7 0.750 0.750 0.250
Sn8 0.750 0.750 0.750
Pd1 0.000 0.000 0.500
Pd2 0.000 0.500 0.000
Pd3 0.500 0.000 0.000
Pd4 0.500 0.500 0.500

Entry 4:
# V2SnPd8 GGA-PBE optimized geometry
# formation energy = -302 meV per atom
# total magnetization = 2.5 μB/f.u.
# crystal system = monoclinic
# V = 170 Å³/f.u.
data_V2SnPd8
_chemical_formula_sum 'V2 Sn1 Pd8'
_cell_length_a 7.360
_cell_length_b 7.360
_cell_length_c 6.225
_cell_angle_alpha 104.05
_cell_angle_beta 104.05
_cell_angle_gamma 31.38
_space_group_name_H-M_alt 'P 1'
_space_group_IT_number 1
_space_group_name_Hall 'P 1'
loop_
_atom_site_label
_atom_site_fract_x
_atom_site_fract_y
_atom_site_fract_z
V1 0.225 0.225 0.146
V2 0.775 0.775 0.854
Sn1 0.500 0.500 0.500
Pd1 0.046 0.046 0.230
Pd2 0.149 0.149 0.710
Pd3 0.317 0.317 0.582
Pd4 0.400 0.400 0.034
Pd5 0.600 0.600 0.966
Pd6 0.683 0.683 0.418
Pd7 0.851 0.851 0.290
Pd8 0.954 0.954 0.770

Entry 5:
# SnPdW3 GGA-PBE optimized geometry
# formation energy = 2116 meV per atom
# energy relative to the lowest polymorph listed for this composition = 0 meV/atom
# total magnetization = 0.0 μB/f.u.
# crystal system = cubic
# V = 108 Å³/f.u.
data_SnPdW3
_chemical_formula_sum 'Sn1 Pd1 W3'
_cell_length_a 4.761
_cell_length_b 4.761
_cell_length_c 4.761
_cell_angle_alpha 90.00
_cell_angle_beta 90.00
_cell_angle_gamma 90.00
_space_group_name_H-M_alt 'P 1'
_space_group_IT_number 1
_space_group_name_Hall 'P 1'
loop_
_atom_site_label
_atom_site_fract_x
_atom_site_fract_y
_atom_site_fract_z
Sn1 0.000 0.000 0.000
Pd1 0.500 0.500 0.500
W1 0.000 0.500 0.500
W2 0.500 0.000 0.500
W3 0.500 0.500 0.000

Entry 6:
# Sn3PdW GGA-PBE optimized geometry
# formation energy = 669 meV per atom
# energy relative to the lowest polymorph listed for this composition = 0 meV/atom
# total magnetization = 0.0 μB/f.u.
# crystal system = cubic
# V = 142 Å³/f.u.
data_Sn3PdW
_chemical_formula_sum 'Sn3 Pd1 W1'
_cell_length_a 5.220
_cell_length_b 5.220
_cell_length_c 5.220
_cell_angle_alpha 90.00
_cell_angle_beta 90.00
_cell_angle_gamma 90.00
_space_group_name_H-M_alt 'P 1'
_space_group_IT_number 1
_space_group_name_Hall 'P 1'
loop_
_atom_site_label
_atom_site_fract_x
_atom_site_fract_y
_atom_site_fract_z
Sn1 0.000 0.000 0.500
Sn2 0.000 0.500 0.000
Sn3 0.500 0.000 0.000
Pd1 0.500 0.500 0.500
W1 0.000 0.000 0.000

Entry 7:
# Sn3PdW GGA-PBE optimized geometry
# formation energy = 1091 meV per atom
# energy relative to the lowest polymorph listed for this composition = 422 meV/atom
# total magnetization = 4.0 μB/f.u.
# crystal system = cubic
# V = 135 Å³/f.u.
data_Sn3PdW
_chemical_formula_sum 'Sn3 Pd1 W1'
_cell_length_a 5.131
_cell_length_b 5.131
_cell_length_c 5.131
_cell_angle_alpha 90.00
_cell_angle_beta 90.00
_cell_angle_gamma 90.00
_space_group_name_H-M_alt 'P 1'
_space_group_IT_number 1
_space_group_name_Hall 'P 1'
loop_
_atom_site_label
_atom_site_fract_x
_atom_site_fract_y
_atom_site_fract_z
Sn1 0.000 0.000 0.500
Sn2 0.000 0.500 0.000
Sn3 0.500 0.000 0.000
Pd1 0.000 0.000 0.000
W1 0.500 0.500 0.500

Entry 8:
# SnPd3W GGA-PBE optimized geometry
# formation energy = 944 meV per atom
# energy relative to the lowest polymorph listed for this composition = 0 meV/atom
# total magnetization = 0.0 μB/f.u.
# crystal system = cubic
# V = 115 Å³/f.u.
data_SnPd3W
_chemical_formula_sum 'Sn1 Pd3 W1'
_cell_length_a 4.864
_cell_length_b 4.864
_cell_length_c 4.864
_cell_angle_alpha 90.00
_cell_angle_beta 90.00
_cell_angle_gamma 90.00
_space_group_name_H-M_alt 'P 1'
_space_group_IT_number 1
_space_group_name_Hall 'P 1'
loop_
_atom_site_label
_atom_site_fract_x
_atom_site_fract_y
_atom_site_fract_z
Sn1 0.000 0.000 0.000
Pd1 0.000 0.500 0.500
Pd2 0.500 0.000 0.500
Pd3 0.500 0.500 0.000
W1 0.500 0.500 0.500

Entry 9:
# SnPd3W GGA-PBE optimized geometry
# formation energy = 1352 meV per atom
# energy relative to the lowest polymorph listed for this composition = 408 meV/atom
# total magnetization = 3.8 μB/f.u.
# crystal system = cubic
# V = 114 Å³/f.u.
data_SnPd3W
_chemical_formula_sum 'Sn1 Pd3 W1'
_cell_length_a 4.848
_cell_length_b 4.848
_cell_length_c 4.848
_cell_angle_alpha 90.00
_cell_angle_beta 90.00
_cell_angle_gamma 90.00
_space_group_name_H-M_alt 'P 1'
_space_group_IT_number 1
_space_group_name_Hall 'P 1'
loop_
_atom_site_label
_atom_site_fract_x
_atom_site_fract_y
_atom_site_fract_z
Sn1 0.000 0.000 0.000
Pd1 0.000 0.000 0.500
Pd2 0.000 0.500 0.000
Pd3 0.500 0.000 0.000
W1 0.500 0.500 0.500

Entry 10:
# SnPd2W GGA-PBE optimized geometry
# formation energy = 438 meV per atom
# total magnetization = 0.0 μB/f.u.
# crystal system = tetragonal
# V = 74 Å³/f.u.
data_SnPd2W
_chemical_formula_sum 'Sn4 Pd8 W4'
_cell_length_a 3.971
_cell_length_b 3.971
_cell_length_c 18.662
_cell_angle_alpha 90.00
_cell_angle_beta 90.00
_cell_angle_gamma 90.00
_space_group_name_H-M_alt 'P 1'
_space_group_IT_number 1
_space_group_name_Hall 'P 1'
loop_
_atom_site_label
_atom_site_fract_x
_atom_site_fract_y
_atom_site_fract_z
Sn1 0.000 0.000 0.000
Sn2 0.000 0.500 0.250
Sn3 0.500 0.000 0.750
Sn4 0.500 0.500 0.500
Pd1 0.242 0.250 0.625
Pd2 0.250 0.742 0.875
Pd3 0.250 0.758 0.375
Pd4 0.258 0.250 0.125
Pd5 0.742 0.750 0.125
Pd6 0.750 0.242 0.375
Pd7 0.750 0.258 0.875
Pd8 0.758 0.750 0.625
W1 0.000 0.000 0.500
W2 0.000 0.500 0.750
W3 0.500 0.000 0.250
W4 0.500 0.500 0.000

Entry 11:
# Sn3Pd12W GGA-PBE optimized geometry
# formation energy = -367 meV per atom
# total magnetization = 0.7 μB/f.u.
# crystal system = tetragonal
# V = 259 Å³/f.u.
data_Sn3Pd12W
_chemical_formula_sum 'Sn3 Pd12 W1'
_cell_length_a 4.009
_cell_length_b 4.009
_cell_length_c 16.107
_cell_angle_alpha 90.00
_cell_angle_beta 90.00
_cell_angle_gamma 90.00
_space_group_name_H-M_alt 'P 1'
_space_group_IT_number 1
_space_group_name_Hall 'P 1'
loop_
_atom_site_label
_atom_site_fract_x
_atom_site_fract_y
_atom_site_fract_z
Sn1 0.000 0.000 0.000
Sn2 0.000 0.000 0.249
Sn3 0.000 0.000 0.751
Pd1 0.000 0.500 0.127
Pd2 0.000 0.500 0.383
Pd3 0.000 0.500 0.617
Pd4 0.000 0.500 0.873
Pd5 0.500 0.000 0.127
Pd6 0.500 0.000 0.383
Pd7 0.500 0.000 0.617
Pd8 0.500 0.000 0.873
Pd9 0.500 0.500 0.000
Pd10 0.500 0.500 0.256
Pd11 0.500 0.500 0.500
Pd12 0.500 0.500 0.744
W1 0.000 0.000 0.500

- Number 3 is which compound?
  VSn2Pd

- Look up the V of the first one.
  74 Å³/f.u.

- Look up the V of the eleventh one.
  259 Å³/f.u.